DFT (GGA-PBEsol) results for an optimized crystal structure of CdAs3Os.

Unit cell a=4.797 b=4.797 c=4.797 alpha=90.00 beta=90.00 gamma=90.00
Space group Pm-3m (No. 221)
One atom of each set of equivalent atoms:
Cd: 0.000 0.000 0.000 (multiplicity 1)
As: 0.000 0.500 0.500 (multiplicity 3)
Os: 0.500 0.500 0.500 (multiplicity 1)

ΔE_f, kJ per mole of atoms: 63.8
E_tot, eV/atom: -5.085
Density of states at the Fermi level, states/eV/atom: 0.6297